VASP calculation (PBE) on a relaxed structure of CsBeNb.

Energy above the lowest structure with this stoichiometry (eV per atom): 0.215
SG: Cmcm
Electronic total energy (hartree per atom): -0.1567

a b c (Å): 11.8656 11.8656 4.0772
angles (deg): 90.00 90.00 158.88
Positions (direct):
Cs (0.1473, 0.8527, 0.7500)
Cs (0.8527, 0.1473, 0.2500)
Be (0.0000, 0.0000, 0.0000)
Be (0.0000, 0.0000, 0.5000)
Nb (0.4638, 0.5362, 0.7500)
Nb (0.5362, 0.4638, 0.2500)

VASP calculation (PBE) on a relaxed structure of CsBe3Nb.

SG: Pm-3m
Electronic total energy (hartree per atom): -0.0622

a b c (Å): 4.6567 4.6567 4.6567
angles (deg): 90.00 90.00 90.00
Positions (direct):
Cs (0.0000, 0.0000, 0.0000)
Be (0.0000, 0.0000, 0.5000)
Be (0.0000, 0.5000, 0.0000)
Be (0.5000, 0.0000, 0.0000)
Nb (0.5000, 0.5000, 0.5000)

VASP calculation (PBE) on a relaxed structure of CsBeNb.

Energy above the lowest structure with this stoichiometry (eV per atom): 1.795
SG: F-43m
Electronic total energy (hartree per atom): -0.0986

a b c (Å): 4.7977 4.7977 4.7977
angles (deg): 60.00 60.00 60.00
Positions (direct):
Cs (0.0000, 0.0000, 0.0000)
Be (0.2500, 0.2500, 0.2500)
Nb (0.5000, 0.5000, 0.5000)

no.,energy of formation (eV/f.u.),DOS(E_F) (states/eV/atom)
1,1.9,0.6148
2,13.6,0.4439
3,6.6,1.9446